# 1
Pr12Ho2In after structural relaxation, computed with GGA-PBE.

a b c (Å): 6.773 6.773 24.106
angles (deg): 90.00 90.00 90.00
Positions (direct):
Pr  0.004  0.504  0.092
Pr  0.004  0.996  0.908
Pr  0.083  0.583  0.566
Pr  0.083  0.917  0.434
Pr  0.250  0.250  0.200
Pr  0.250  0.250  0.327
Pr  0.250  0.250  0.673
Pr  0.250  0.250  0.800
Pr  0.417  0.583  0.434
Pr  0.417  0.917  0.566
Pr  0.496  0.504  0.908
Pr  0.496  0.996  0.092
Pr  0.504  0.004  0.908
Pr  0.504  0.496  0.092
Pr  0.583  0.083  0.434
Pr  0.583  0.417  0.566
Pr  0.750  0.750  0.200
Pr  0.750  0.750  0.327
Pr  0.750  0.750  0.673
Pr  0.750  0.750  0.800
Pr  0.917  0.083  0.566
Pr  0.917  0.417  0.434
Pr  0.996  0.004  0.092
Pr  0.996  0.496  0.908
Ho  0.250  0.750  0.251
Ho  0.250  0.750  0.749
Ho  0.750  0.250  0.251
Ho  0.750  0.250  0.749
In  0.250  0.750  0.000
In  0.750  0.250  0.000

Calculated values
DFT formation energy = 22 kJ per mole of atoms
total magnetic moment = 0.0 Bohr magnetons per cell
SG = P4/nbm
energy = -4.3867 eV/atom
mass density = 6.4 g/cm³

=====

# 2
Pr12Ho6In after structural relaxation, computed with GGA-PBE.

a b c (Å): 8.688 8.688 8.688
angles (deg): 88.52 88.52 88.52
Positions (direct):
Pr  0.037  0.287  0.931
Pr  0.069  0.963  0.713
Pr  0.136  0.322  0.483
Pr  0.287  0.931  0.037
Pr  0.322  0.483  0.136
Pr  0.483  0.136  0.322
Pr  0.517  0.864  0.678
Pr  0.678  0.517  0.864
Pr  0.713  0.069  0.963
Pr  0.864  0.678  0.517
Pr  0.931  0.037  0.287
Pr  0.963  0.713  0.069
Ho  0.218  0.601  0.755
Ho  0.245  0.782  0.399
Ho  0.399  0.245  0.782
Ho  0.601  0.755  0.218
Ho  0.755  0.218  0.601
Ho  0.782  0.399  0.245
In  0.500  0.500  0.500

Calculated values
DFT formation energy = 6 kJ per mole of atoms
total magnetic moment = 0.0 Bohr magnetons per cell
SG = R-3
energy = -4.5493 eV/atom
mass density = 7.1 g/cm³
excess energy over the best structure of this formula in the dataset = 0.00 kJ per mole of atoms

=====

# 3
Pr6Ho3In after structural relaxation, computed with GGA-PBE.

a b c (Å): 11.482 11.482 6.514
angles (deg): 90.00 90.00 128.96
Positions (direct):
Pr  0.019  0.981  0.500
Pr  0.096  0.530  0.035
Pr  0.262  0.374  0.255
Pr  0.286  0.714  0.479
Pr  0.374  0.262  0.755
Pr  0.470  0.904  0.035
Pr  0.530  0.096  0.535
Pr  0.626  0.738  0.255
Pr  0.714  0.286  0.979
Pr  0.738  0.626  0.755
Pr  0.904  0.470  0.535
Pr  0.981  0.019  0.000
Ho  0.042  0.296  0.678
Ho  0.296  0.042  0.178
Ho  0.412  0.588  0.780
Ho  0.588  0.412  0.280
Ho  0.704  0.958  0.678
Ho  0.958  0.704  0.178
In  0.154  0.846  0.758
In  0.846  0.154  0.258

Calculated values
DFT formation energy = 0 kJ per mole of atoms
total magnetic moment = 0.0 Bohr magnetons per cell
SG = Cmc2_1
energy = -4.5119 eV/atom
mass density = 7.2 g/cm³

=====

# 4
Pr12Ho7In after structural relaxation, computed with GGA-PBE.

a b c (Å): 9.381 9.381 9.381
angles (deg): 107.37 107.37 107.37
Positions (direct):
Pr  0.062  0.290  0.396
Pr  0.220  0.679  0.381
Pr  0.290  0.396  0.062
Pr  0.321  0.619  0.780
Pr  0.381  0.220  0.679
Pr  0.396  0.062  0.290
Pr  0.604  0.938  0.710
Pr  0.619  0.780  0.321
Pr  0.679  0.381  0.220
Pr  0.710  0.604  0.938
Pr  0.780  0.321  0.619
Pr  0.938  0.710  0.604
Ho  0.006  0.898  0.312
Ho  0.102  0.688  0.994
Ho  0.312  0.006  0.898
Ho  0.500  0.500  0.500
Ho  0.688  0.994  0.102
Ho  0.898  0.312  0.006
Ho  0.994  0.102  0.688
In  0.000  0.000  0.000

Calculated values
DFT formation energy = 8 kJ per mole of atoms
total magnetic moment = 0.0 Bohr magnetons per cell
SG = R-3
energy = -4.5268 eV/atom
mass density = 7.2 g/cm³
excess energy over the best structure of this formula in the dataset = 0.00 kJ per mole of atoms

=====

# 5
Pr6HoIn2 after structural relaxation, computed with GGA-PBE.

a b c (Å): 6.890 6.890 12.208
angles (deg): 107.16 107.16 32.59
Positions (direct):
Pr  0.021  0.021  0.339
Pr  0.307  0.307  0.406
Pr  0.321  0.321  0.122
Pr  0.679  0.679  0.878
Pr  0.693  0.693  0.594
Pr  0.979  0.979  0.661
Ho  0.000  0.000  0.000
In  0.359  0.359  0.809
In  0.641  0.641  0.191

Calculated values
DFT formation energy = -19 kJ per mole of atoms
total magnetic moment = 0.0 Bohr magnetons per cell
SG = C2/m
energy = -4.5010 eV/atom
mass density = 6.9 g/cm³
excess energy over the best structure of this formula in the dataset = 0.00 kJ per mole of atoms

=====

# 6
Pr12HoIn3 after structural relaxation, computed with GGA-PBE.

a b c (Å): 5.039 5.039 20.501
angles (deg): 90.00 90.00 90.00
Positions (direct):
Pr  0.000  0.000  0.000
Pr  0.000  0.000  0.246
Pr  0.000  0.000  0.500
Pr  0.000  0.000  0.754
Pr  0.000  0.500  0.123
Pr  0.000  0.500  0.369
Pr  0.000  0.500  0.631
Pr  0.000  0.500  0.877
Pr  0.500  0.000  0.123
Pr  0.500  0.000  0.369
Pr  0.500  0.000  0.631
Pr  0.500  0.000  0.877
Ho  0.500  0.500  0.500
In  0.500  0.500  0.000
In  0.500  0.500  0.245
In  0.500  0.500  0.755

Calculated values
DFT formation energy = -19 kJ per mole of atoms
total magnetic moment = 0.0 Bohr magnetons per cell
SG = P4/mmm
energy = -4.5828 eV/atom
mass density = 7.0 g/cm³

=====

# 7
PrHo7In4 after structural relaxation, computed with GGA-PBE.

a b c (Å): 7.755 7.755 10.517
angles (deg): 121.29 121.29 42.79
Positions (direct):
Pr  0.000  0.000  0.000
Ho  0.064  0.064  0.396
Ho  0.211  0.211  0.876
Ho  0.285  0.285  0.346
Ho  0.500  0.500  0.000
Ho  0.715  0.715  0.654
Ho  0.789  0.789  0.124
Ho  0.936  0.936  0.604
In  0.318  0.318  0.667
In  0.438  0.438  0.239
In  0.562  0.562  0.761
In  0.682  0.682  0.333

Calculated values
DFT formation energy = -9 kJ per mole of atoms
total magnetic moment = 0.0 Bohr magnetons per cell
SG = C2/m
energy = -4.0778 eV/atom
mass density = 8.2 g/cm³

=====

# 8
PrHo12In6 after structural relaxation, computed with GGA-PBE.

a b c (Å): 8.813 8.813 8.813
angles (deg): 103.38 103.38 103.38
Positions (direct):
Pr  0.000  0.000  0.000
Ho  0.123  0.500  0.877
Ho  0.123  0.877  0.500
Ho  0.179  0.446  0.446
Ho  0.446  0.179  0.446
Ho  0.446  0.446  0.179
Ho  0.500  0.123  0.877
Ho  0.500  0.877  0.123
Ho  0.554  0.554  0.821
Ho  0.554  0.821  0.554
Ho  0.821  0.554  0.554
Ho  0.877  0.123  0.500
Ho  0.877  0.500  0.123
In  0.243  0.243  0.701
In  0.243  0.701  0.243
In  0.299  0.757  0.757
In  0.701  0.243  0.243
In  0.757  0.299  0.757
In  0.757  0.757  0.299

Calculated values
DFT formation energy = -5 kJ per mole of atoms
total magnetic moment = 0.0 Bohr magnetons per cell
SG = R-3m
energy = -4.0600 eV/atom
mass density = 7.5 g/cm³

=====

# 9
Pr15Ho2In2 after structural relaxation, computed with GGA-PBE.

a b c (Å): 8.868 8.868 8.868
angles (deg): 77.62 77.62 77.62
Positions (direct):
Pr  0.000  0.000  0.500
Pr  0.000  0.290  0.710
Pr  0.000  0.500  0.000
Pr  0.000  0.710  0.290
Pr  0.167  0.608  0.608
Pr  0.290  0.000  0.710
Pr  0.290  0.710  0.000
Pr  0.392  0.392  0.833
Pr  0.392  0.833  0.392
Pr  0.500  0.000  0.000
Pr  0.608  0.167  0.608
Pr  0.608  0.608  0.167
Pr  0.710  0.000  0.290
Pr  0.710  0.290  0.000
Pr  0.833  0.392  0.392
Ho  0.300  0.300  0.300
Ho  0.700  0.700  0.700
In  0.096  0.096  0.096
In  0.904  0.904  0.904

Calculated values
DFT formation energy = 13 kJ per mole of atoms
total magnetic moment = 0.0 Bohr magnetons per cell
SG = R-3m
energy = -4.4037 eV/atom
mass density = 6.8 g/cm³

=====

# 10
PrHo2In4 after structural relaxation, computed with GGA-PBE.

a b c (Å): 7.172 7.172 7.172
angles (deg): 130.79 130.79 72.15
Positions (direct):
Pr  0.000  0.000  0.000
Ho  0.355  0.355  0.000
Ho  0.645  0.645  0.000
In  0.000  0.500  0.500
In  0.250  0.750  0.500
In  0.500  0.000  0.500
In  0.750  0.250  0.500

Calculated values
DFT formation energy = -17 kJ per mole of atoms
total magnetic moment = 0.0 Bohr magnetons per cell
SG = I4/mmm
energy = -3.7293 eV/atom
mass density = 7.5 g/cm³
excess energy over the best structure of this formula in the dataset = 10.46 kJ per mole of atoms

=====

# 11
PrHo2In3 after structural relaxation, computed with GGA-PBE.

a b c (Å): 8.187 8.187 8.187
angles (deg): 101.09 95.92 134.78
Positions (direct):
Pr  0.499  0.249  0.250
Pr  0.501  0.751  0.750
Ho  0.166  0.250  0.916
Ho  0.166  0.750  0.416
Ho  0.834  0.250  0.584
Ho  0.834  0.750  0.084
In  0.000  0.000  0.500
In  0.000  0.250  0.250
In  0.000  0.500  0.000
In  0.000  0.750  0.750
In  0.500  0.250  0.750
In  0.500  0.750  0.250

Calculated values
DFT formation energy = -25 kJ per mole of atoms
total magnetic moment = 0.0 Bohr magnetons per cell
SG = Imma
energy = -3.9549 eV/atom
mass density = 7.5 g/cm³
excess energy over the best structure of this formula in the dataset = 20.02 kJ per mole of atoms

=====

# 12
PrHo4In2 after structural relaxation, computed with GGA-PBE.

a b c (Å): 7.670 7.670 7.670
angles (deg): 135.72 135.72 64.41
Positions (direct):
Pr  0.000  0.000  0.000
Ho  0.000  0.500  0.500
Ho  0.250  0.750  0.500
Ho  0.500  0.000  0.500
Ho  0.750  0.250  0.500
In  0.375  0.375  0.000
In  0.625  0.625  0.000

Calculated values
DFT formation energy = 17 kJ per mole of atoms
total magnetic moment = 0.0 Bohr magnetons per cell
SG = I4/mmm
energy = -3.9017 eV/atom
mass density = 7.9 g/cm³

=====

Which formula does entry 7 have? PrHo7In4

=====

What is the formula in the first record? Pr12Ho2In